Record 1
Material: ZrGa3Sn
Method: DFT, PBEsol
State: optimized geometry

```
ZrGa3Sn
1.0
5.0142 0.0000 0.0000
0.0000 5.0142 0.0000
0.0000 0.0000 5.0142
Ga Zr Sn
3 1 1
Cartesian
0.0000 2.5071 0.0000 Ga
2.5071 0.0000 0.0000 Ga
0.0000 0.0000 2.5071 Ga
2.5071 2.5071 2.5071 Zr
0.0000 0.0000 0.0000 Sn
```

## Properties
symmetry	Pm-3m
ΔH_f (0 K)	0.883	eV/atom

=====

Record 2
Material: SrGa2
Method: DFT, PBEsol
State: optimized geometry

```
SrGa2
1.0
4.2881 0.0000 0.0000
-2.1441 3.7136 0.0000
0.0000 0.0000 4.7024
Ga Sr
2 1
Cartesian
2.1441 1.2379 0.0000 Ga
0.0000 2.4758 0.0000 Ga
0.0000 0.0000 2.3512 Sr
```

## Properties
symmetry	P6/mmm
ΔH_f (0 K)	-0.524	eV/atom

=====

Record 3
Material: Sr3TaGa
Method: DFT, PBEsol
State: optimized geometry

```
Sr3TaGa
1.0
5.7923 0.0000 0.0000
0.0000 5.7923 0.0000
0.0000 0.0000 5.7923
Sr Ta Ga
3 1 1
Cartesian
2.8962 0.0000 0.0000 Sr
0.0000 2.8962 0.0000 Sr
0.0000 0.0000 2.8962 Sr
0.0000 0.0000 0.0000 Ta
2.8962 2.8962 2.8962 Ga
```

## Properties
symmetry	Pm-3m
offset from the most stable computed form	61	meV/atom
ΔH_f (0 K)	1.089	eV/atom

=====

Record 4
Material: SrTaGa3
Method: DFT, PBEsol
State: optimized geometry

```
SrTaGa3
1.0
4.9923 0.0000 0.0000
0.0000 4.9923 0.0000
0.0000 0.0000 4.9923
Ga Sr Ta
3 1 1
Cartesian
0.0000 2.4961 0.0000 Ga
2.4961 0.0000 0.0000 Ga
0.0000 0.0000 2.4961 Ga
2.4961 2.4961 2.4961 Sr
0.0000 0.0000 0.0000 Ta
```

## Properties
symmetry	Pm-3m
ΔH_f (0 K)	-0.069	eV/atom

=====

Record 5
Material: Sr3TaGa
Method: DFT, PBEsol
State: optimized geometry

```
Sr3TaGa
1.0
5.8822 0.0000 0.0000
0.0000 5.8822 0.0000
0.0000 0.0000 5.8822
Sr Ta Ga
3 1 1
Cartesian
0.0000 2.9411 0.0000 Sr
0.0000 0.0000 2.9411 Sr
2.9411 0.0000 0.0000 Sr
2.9411 2.9411 2.9411 Ta
0.0000 0.0000 0.0000 Ga
```

## Properties
symmetry	Pm-3m
offset from the most stable computed form	0	meV/atom
ΔH_f (0 K)	1.028	eV/atom

=====

Record 6
Material: SrGa3Tc
Method: DFT, PBEsol
State: optimized geometry

```
SrGa3Tc
1.0
4.7985 0.0000 0.0000
0.0000 4.7985 0.0000
0.0000 0.0000 4.7985
Sr Ga Tc
1 3 1
Cartesian
2.3992 2.3992 2.3992 Sr
0.0000 2.3992 0.0000 Ga
0.0000 0.0000 2.3992 Ga
2.3992 0.0000 0.0000 Ga
0.0000 0.0000 0.0000 Tc
```

## Properties
symmetry	Pm-3m
ΔH_f (0 K)	-0.344	eV/atom

=====

Record 7
Material: SrGa2Te4
Method: DFT, PBEsol
State: optimized geometry

```
SrGa2Te4
1.0
-0.3605 4.6999 -4.6435
-2.7612 -1.3792 -5.8958
-5.3359 3.9665 -0.2853
Te Sr Ga
4 1 2
Cartesian
-2.4776 4.2412 -7.3004 Te
-5.0604 1.1368 -5.5279 Te
-3.2169 3.8004 -2.9750 Te
-6.1602 5.3959 -5.8459 Te
0.0000 0.0000 0.0000 Sr
-4.2288 3.6436 -5.4123 Ga
-4.0486 1.2937 -3.0906 Ga
```

## Properties
energy	-27.60	eV/f.u.
symmetry	I422

=====

Record 8
Material: SrGa2Te4
Method: DFT, PBEsol
State: optimized geometry

```
SrGa2Te4
1.0
-0.5436 6.5981 -0.6889
-5.3326 -3.6221 1.6727
2.5808 1.3847 11.2257
Te Ga Sr
8 4 2
Cartesian
-1.8340 -1.3645 4.4569 Te
-1.2169 4.8153 -0.3142 Te
0.3311 2.3810 5.6251 Te
-3.6266 1.9796 6.5845 Te
-0.9179 -0.8730 8.4416 Te
-0.8154 2.6269 9.7253 Te
-2.4801 1.7337 2.4843 Te
-4.6594 -1.8393 1.2981 Te
-2.7098 -0.1464 0.6410 Ga
-3.1664 3.1224 0.3428 Ga
-1.4178 0.5264 6.2560 Ga
-1.8776 3.8342 5.9537 Ga
0.3734 3.6452 2.4620 Sr
1.6638 4.3375 8.0749 Sr
```

## Properties
energy	-27.67	eV/f.u.
symmetry	Cccm

=====

Record 9
Material: SrTiGa3
Method: DFT, PBEsol
State: optimized geometry

```
SrTiGa3
1.0
-1.6377 4.3010 -1.7750
-0.1669 -1.9348 -4.5343
-4.6499 -1.4454 0.7879
Sr Ga Ti
1 3 1
Cartesian
-3.2273 0.4604 -2.7607 Sr
-0.0835 -0.9674 -2.2671 Ga
-2.3249 -0.7227 0.3940 Ga
-0.8188 2.1505 -0.8875 Ga
0.0000 0.0000 0.0000 Ti
```

## Properties
symmetry	Pm-3m
ΔH_f (0 K)	-0.130	eV/atom

=====

Record 10
Material: Sr2TlGa
Method: DFT, PBEsol
State: optimized geometry

```
Sr2TlGa
1.0
-1.4513 4.8239 2.3355
-2.0821 0.0774 5.1468
3.0072 2.0765 4.1804
Tl Sr Ga
1 2 1
Cartesian
-0.2631 3.4889 5.8314 Tl
-0.3946 5.2334 8.7470 Sr
-0.1315 1.7445 2.9157 Sr
0.0000 0.0000 0.0000 Ga
```

## Properties
symmetry	Fm-3m
ΔH_f (0 K)	-0.403	eV/atom

=====

Record 11
Material: SrTl2Ga2
Method: DFT, PBEsol
State: optimized geometry

```
SrTl2Ga2
1.0
-3.6989 2.9850 0.4867
-2.9445 -3.7298 0.4972
4.1281 0.4717 5.0282
Sr Tl Ga
1 2 2
Cartesian
0.0000 0.0000 0.0000 Sr
-1.4463 1.5421 3.0034 Tl
-1.0691 -1.8153 3.0087 Tl
-3.1449 -0.3506 1.7021 Ga
0.6296 0.0775 4.3099 Ga
```

## Properties
symmetry	I4/mmm
ΔH_f (0 K)	-0.274	eV/atom

=====

Record 12
Material: SrTl2Ga
Method: DFT, PBEsol
State: optimized geometry

```
SrTl2Ga
1.0
-1.4226 2.9527 -4.1884
-1.0221 -2.3285 -4.6710
-4.9888 -0.2110 -1.8309
Ga Sr Tl
1 1 2
Cartesian
0.0000 0.0000 0.0000 Ga
-3.7167 0.2066 -5.3451 Sr
-5.5751 0.3099 -8.0176 Tl
-1.8584 0.1033 -2.6725 Tl
```

## Properties
symmetry	Fm-3m
ΔH_f (0 K)	-0.219	eV/atom

=====

Record 13
Material: SrY2TlGa
Method: DFT, PBEsol
State: optimized geometry

```
SrY2TlGa
1.0
-4.0312 1.2547 -3.4043
-2.2370 -4.8661 0.8554
-3.0771 2.1975 4.4537
Y Tl Sr Ga
2 1 1 1
Cartesian
-1.1185 -2.4330 0.4277 Y
-2.0156 0.6274 -1.7022 Y
-4.6727 -0.7069 0.9524 Tl
-1.5386 1.0988 2.2269 Sr
0.0000 0.0000 0.0000 Ga
```

## Properties
symmetry	P4/mmm
ΔH_f (0 K)	0.012	eV/atom

=====

Record 14
Material: SrYGa3
Method: DFT, PBEsol
State: optimized geometry

```
SrYGa3
1.0
-2.4292 -2.9689 3.6784
4.2574 -3.1712 0.2519
2.0541 3.0618 3.8277
Ga Y Sr
3 1 1
Cartesian
2.1287 -1.5856 0.1260 Ga
1.0271 1.5309 1.9139 Ga
-1.2146 -1.4844 1.8392 Ga
1.9412 -1.5392 3.8790 Y
0.0000 0.0000 0.0000 Sr
```

## Properties
symmetry	Pm-3m
ΔH_f (0 K)	0.715	eV/atom

=====

Record 15
Material: Sr2Zn2Ga
Method: DFT, PBEsol
State: optimized geometry

```
Sr2Zn2Ga
1.0
-1.1040 5.5325 -0.3830
-4.3894 -3.3576 -1.1974
1.1882 -1.7998 5.2271
Ga Zn Sr
1 2 2
Cartesian
0.0000 0.0000 0.0000 Ga
-1.0885 -1.7536 1.3702 Zn
-2.1127 -3.4038 2.6595 Zn
-0.7582 0.5770 3.4295 Sr
-3.5470 -0.2019 0.2172 Sr
```

## Properties
symmetry	I4/mmm
ΔH_f (0 K)	-0.063	eV/atom

=====

Record 16
Material: SrZnGa3
Method: DFT, PBEsol
State: optimized geometry

```
SrZnGa3
1.0
-1.1131 1.8467 -4.3637
-2.6658 -3.9499 -0.9916
-3.9174 2.1632 1.9147
Ga Sr Zn
3 1 1
Cartesian
-1.9587 1.0816 0.9573 Ga
-1.3329 -1.9749 -0.4958 Ga
-0.5565 0.9234 -2.1819 Ga
-3.8481 0.0300 -1.7203 Sr
0.0000 0.0000 0.0000 Zn
```

## Properties
symmetry	Pm-3m
ΔH_f (0 K)	-0.031	eV/atom

=====

Record 17
Material: SrZnGa3
Method: DFT, PBEsol
State: optimized geometry

```
SrZnGa3
1.0
5.7938 0.0000 0.0000
0.0000 5.7938 0.0000
0.0000 0.0000 5.7938
Ga Zn Sr
3 1 1
Cartesian
2.8969 0.0000 0.0000 Ga
0.0000 0.0000 2.8969 Ga
0.0000 2.8969 0.0000 Ga
2.8969 2.8969 2.8969 Zn
0.0000 0.0000 0.0000 Sr
```

## Properties
symmetry	Pm-3m
ΔH_f (0 K)	1.145	eV/atom

=====

Record 18
Material: Ta3Ga2
Method: DFT, PBEsol
State: optimized geometry

```
Ta3Ga2
1.0
3.4726 0.0000 0.0000
0.0000 6.8267 0.0000
0.0000 0.0000 6.8267
Ta Ga
6 4
Cartesian
1.7363 4.6099 1.1966 Ta
0.0000 3.4133 3.4133 Ta
1.7363 1.1966 2.2168 Ta
1.7363 5.6301 4.6099 Ta
0.0000 0.0000 0.0000 Ta
1.7363 2.2168 5.6301 Ta
0.0000 2.5536 0.8598 Ga
0.0000 5.9669 2.5536 Ga
0.0000 4.2731 5.9669 Ga
0.0000 0.8598 4.2731 Ga
```

## Properties
symmetry	P4/mbm
ΔH_f (0 K)	-0.328	eV/atom

=====

Record 19
Material: TaGa2Tc
Method: DFT, PBEsol
State: optimized geometry

```
TaGa2Tc
1.0
4.3756 0.0000 0.0000
2.1878 3.7894 0.0000
2.1878 1.2631 3.5727
Ga Ta Tc
2 1 1
Cartesian
2.1878 1.2631 0.8932 Ga
6.5634 3.7894 2.6795 Ga
4.3756 2.5263 1.7863 Ta
0.0000 0.0000 0.0000 Tc
```

## Properties
symmetry	Fm-3m
ΔH_f (0 K)	-0.015	eV/atom

=====

Record 20
Material: Ta3TiGa
Method: DFT, PBEsol
State: optimized geometry

```
Ta3TiGa
1.0
-1.5222 -2.1069 3.8841
4.3957 -0.3022 1.5587
-0.4516 4.1608 2.0800
Ta Ga Ti
3 1 1
Cartesian
2.1978 -0.1511 0.7794 Ta
-0.7611 -1.0535 1.9421 Ta
-0.2258 2.0804 1.0400 Ta
0.0000 0.0000 0.0000 Ga
1.2110 0.8759 3.7614 Ti
```

## Properties
symmetry	Pm-3m
offset from the most stable computed form	0	meV/atom
ΔH_f (0 K)	1.189	eV/atom

=====

| no. | total moment (μB/f.u.) | calculated volume (Å³/cell) |
| --- | --- | --- |
| 1 | 0.000 | 126.1 |
| 2 | 0.000 | 74.9 |
| 3 | 0.000 | 194.3 |
| 4 | 0.000 | 124.4 |
| 5 | 4.080 | 203.5 |
| 6 | 0.000 | 110.5 |
| 7 | 0.000 | 220.6 |
| 8 | 0.000 | 445.5 |
| 9 | 0.794 | 120.0 |
| 10 | 0.000 | 121.1 |
| 11 | 0.000 | 127.4 |
| 12 | 0.000 | 106.4 |
| 13 | 0.001 | 171.9 |
| 14 | 0.001 | 150.1 |
| 15 | 0.000 | 136.3 |
| 16 | 0.000 | 115.3 |
| 17 | 0.001 | 194.5 |
| 18 | 0.000 | 161.8 |
| 19 | 0.000 | 59.2 |
| 20 | 0.001 | 102.1 |